{"formula": "YCuReB", "functional": "PBE-GGA", "state": "optimized geometry", "lattice": [[0.4008, 1.0206, 4.3214], [0.0158, 4.2675, 1.2904], [-3.4825, 1.6678, 2.2289]], "species": ["B", "Cu", "Re", "Y"], "frac_coords": [[0.0000, 0.0000, 0.0000], [0.7500, 0.7500, 0.7500], [0.5000, 0.5000, 0.5000], [0.2500, 0.2500, 0.2500]], "e_tot_ev_per_atom": -6.14, "volume_a3_per_cell": 62.7, "magnetic_moment_mub_per_atom": 0.016, "spacegroup": "F-43m (216)", "polymorph_energy_mev_per_atom": 178.9}

***

{"formula": "TaCoAs", "functional": "PBE-GGA", "state": "optimized geometry", "lattice": [[-0.2603, -1.7499, 6.9015], [5.9657, -1.1092, -3.7337], [0.9881, 2.7996, 0.7471]], "species": ["As", "As", "As", "Co", "Co", "Co", "Ta", "Ta", "Ta"], "frac_coords": [[0.6667, 0.3333, 0.0000], [0.3333, 0.6667, 0.0000], [0.0000, 0.0000, 0.5000], [0.6278, 0.0000, 0.5000], [0.3722, 0.3722, 0.5000], [0.0000, 0.6278, 0.5000], [0.2878, 0.0000, 0.0000], [0.0000, 0.2878, 0.0000], [0.7122, 0.7122, 0.0000]], "e_tot_ev_per_atom": -7.85, "volume_a3_per_cell": 134.6, "magnetic_moment_mub_per_atom": 0.177, "spacegroup": "P-62m (189)"}

***

{"formula": "NaZnIr", "functional": "PBE-GGA", "state": "optimized geometry", "lattice": [[-1.6488, 0.3295, 4.0207], [0.9189, 3.4829, 2.4533], [-3.0979, 2.9451, 0.8502]], "species": ["Ir", "Na", "Zn"], "frac_coords": [[0.0000, 0.0000, 0.0000], [0.2500, 0.2500, 0.2500], [0.7500, 0.7500, 0.7500]], "e_tot_ev_per_atom": -3.21, "volume_a3_per_cell": 58.5, "magnetic_moment_mub_per_atom": 0.002, "spacegroup": "F-43m (216)", "polymorph_energy_mev_per_atom": 0.0}

***

{"formula": "KNdCu3S4", "functional": "PBE-GGA", "state": "optimized geometry", "lattice": [[-3.2921, -4.7814, 2.2181], [-1.4104, -1.7208, -5.8025], [5.0787, -3.5773, -0.1736]], "species": ["Cu", "Cu", "Cu", "K", "Nd", "S", "S", "S", "S"], "frac_coords": [[0.5000, 0.5000, 0.0000], [0.5000, 0.0000, 0.5000], [0.0000, 0.5000, 0.5000], [0.0000, 0.0000, 0.0000], [0.5000, 0.5000, 0.5000], [0.2621, 0.2621, 0.2621], [0.7379, 0.7379, 0.2621], [0.7379, 0.2621, 0.7379], [0.2621, 0.7379, 0.7379]], "e_tot_ev_per_atom": -4.19, "volume_a3_per_cell": 240.0, "magnetic_moment_mub_per_atom": 0.111, "spacegroup": "P-43m (215)"}

***

{"formula": "Mg2NbSi", "functional": "PBE-GGA", "state": "optimized geometry", "lattice": [[0.0000, 3.2529, 3.2529], [3.2529, 0.0000, 3.2529], [3.2529, 3.2529, 0.0000]], "species": ["Mg", "Mg", "Nb", "Si"], "frac_coords": [[0.0000, 0.0000, 0.0000], [0.7500, 0.7500, 0.7500], [0.2500, 0.2500, 0.2500], [0.5000, 0.5000, 0.5000]], "e_tot_ev_per_atom": -4.42, "volume_a3_per_cell": 68.8, "magnetic_moment_mub_per_atom": 0.195, "spacegroup": "F-43m (216)"}

***

{"formula": "Na2CdNiH6", "functional": "PBE-GGA", "state": "optimized geometry", "lattice": [[0.0000, 3.6530, 3.6530], [3.6530, 0.0000, 3.6530], [3.6530, 3.6530, 0.0000]], "species": ["Cd", "H", "H", "H", "H", "H", "H", "Na", "Na", "Ni"], "frac_coords": [[0.5000, 0.5000, 0.5000], [0.7797, 0.7797, 0.2203], [0.7797, 0.2203, 0.2203], [0.2203, 0.7797, 0.2203], [0.7797, 0.2203, 0.7797], [0.2203, 0.2203, 0.7797], [0.2203, 0.7797, 0.7797], [0.2500, 0.2500, 0.2500], [0.7500, 0.7500, 0.7500], [0.0000, 0.0000, 0.0000]], "e_tot_ev_per_atom": -3.01, "volume_a3_per_cell": 97.5, "magnetic_moment_mub_per_atom": 0.000, "spacegroup": "Fm-3m (225)"}

***

{"formula": "DyY2Ho3Sb2Os", "functional": "PBE-GGA", "state": "optimized geometry", "lattice": [[4.2080, 0.0000, 0.0000], [0.0000, 7.0820, 4.0791], [0.0000, -7.0820, 4.0791]], "species": ["Dy", "Ho", "Ho", "Ho", "Os", "Sb", "Sb", "Y", "Y"], "frac_coords": [[0.0000, 0.3951, 0.3951], [0.5000, 0.2361, 0.0002], [0.5000, 0.0002, 0.2361], [0.5000, 0.7637, 0.7637], [0.0000, 0.0004, 0.0004], [0.5000, 0.6666, 0.3333], [0.5000, 0.3333, 0.6666], [0.0000, 0.6044, 0.0000], [0.0000, 0.0000, 0.6044]], "e_tot_ev_per_atom": -6.32, "volume_a3_per_cell": 243.1, "magnetic_moment_mub_per_atom": 0.002, "spacegroup": "Amm2 (38)"}

***

{"formula": "LaPrGeBr2", "functional": "PBE-GGA", "state": "optimized geometry", "lattice": [[-2.4918, -3.2427, 1.5811], [4.3697, -0.2876, 0.2175], [-0.1555, 4.6226, 9.2353]], "species": ["Br", "Br", "Ge", "La", "Pr"], "frac_coords": [[0.3333, 0.6667, 0.1622], [0.6667, 0.3333, 0.8362], [0.0000, 0.0000, 0.5011], [0.6667, 0.3333, 0.3351], [0.3333, 0.6667, 0.6654]], "e_tot_ev_per_atom": -5.02, "volume_a3_per_cell": 172.0, "magnetic_moment_mub_per_atom": 0.000, "spacegroup": "P3m1 (156)"}

***

{"formula": "Hf2Ta2O5", "functional": "PBE-GGA", "state": "optimized geometry", "lattice": [[-1.1657, 5.8614, 3.2601], [-3.0376, -1.6750, 1.9254], [2.4599, -1.1250, 2.9022]], "species": ["Hf", "Hf", "O", "O", "O", "O", "O", "Ta", "Ta"], "frac_coords": [[0.0000, 0.0000, 0.0000], [0.5000, 0.0000, 0.0000], [0.2770, 0.5000, 0.0000], [0.7230, 0.5000, 0.0000], [0.2770, 0.0000, 0.5000], [0.7230, 0.0000, 0.5000], [0.5000, 0.5000, 0.5000], [0.2002, 0.5000, 0.5000], [0.7998, 0.5000, 0.5000]], "e_tot_ev_per_atom": -9.40, "volume_a3_per_cell": 107.1, "magnetic_moment_mub_per_atom": 0.003, "spacegroup": "P4/mmm (123)", "polymorph_energy_mev_per_atom": 371.8}

***

{"formula": "La2SmNb2N6", "functional": "PBE-GGA", "state": "optimized geometry", "lattice": [[-2.0328, 2.0328, 9.8955], [2.0328, -2.0328, 9.8955], [2.0328, 2.0328, -9.8955]], "species": ["La", "La", "N", "N", "N", "N", "N", "N", "Nb", "Nb", "Sm"], "frac_coords": [[0.1793, 0.1793, 0.0000], [0.8207, 0.8207, 0.0000], [0.3021, 0.3021, 0.0000], [0.6979, 0.6979, 0.0000], [0.5808, 0.0808, 0.5000], [0.9192, 0.4192, 0.5000], [0.0808, 0.5808, 0.5000], [0.4192, 0.9192, 0.5000], [0.4018, 0.4018, 0.0000], [0.5982, 0.5982, 0.0000], [0.0000, 0.0000, 0.0000]], "e_tot_ev_per_atom": -8.99, "volume_a3_per_cell": 163.6, "magnetic_moment_mub_per_atom": 0.000, "spacegroup": "I4/mmm (139)"}

***

{"formula": "HoInNO", "functional": "PBE-GGA", "state": "optimized geometry", "lattice": [[4.0141, 0.0000, 0.0000], [0.0000, 4.0141, 0.0000], [0.0000, 0.0000, 7.8641]], "species": ["Ho", "Ho", "In", "In", "N", "N", "O", "O"], "frac_coords": [[0.2500, 0.2500, 0.1258], [0.7500, 0.7500, 0.8742], [0.7500, 0.2500, 0.5000], [0.2500, 0.7500, 0.5000], [0.7500, 0.7500, 0.3411], [0.2500, 0.2500, 0.6589], [0.7500, 0.2500, 0.0000], [0.2500, 0.7500, 0.0000]], "e_tot_ev_per_atom": -6.30, "volume_a3_per_cell": 126.7, "magnetic_moment_mub_per_atom": 0.000, "spacegroup": "P4/nmm (129)", "polymorph_energy_mev_per_atom": 188.5}

***

{"formula": "ZrNbHg2", "functional": "PBE-GGA", "state": "optimized geometry", "lattice": [[0.0000, 3.4716, 3.4716], [3.4716, 0.0000, 3.4716], [3.4716, 3.4716, 0.0000]], "species": ["Hg", "Hg", "Nb", "Zr"], "frac_coords": [[0.0000, 0.0000, 0.0000], [0.2500, 0.2500, 0.2500], [0.5000, 0.5000, 0.5000], [0.7500, 0.7500, 0.7500]], "e_tot_ev_per_atom": -4.35, "volume_a3_per_cell": 83.7, "magnetic_moment_mub_per_atom": 0.366, "spacegroup": "F-43m (216)"}

***

{"formula": "SmEr2In", "functional": "PBE-GGA", "state": "optimized geometry", "lattice": [[4.8526, 0.0000, 0.0000], [0.0000, 4.8526, 0.0000], [0.0000, 0.0000, 4.8161]], "species": ["Er", "Er", "In", "Sm"], "frac_coords": [[0.5000, 0.0000, 0.5000], [0.0000, 0.5000, 0.5000], [0.0000, 0.0000, 0.0000], [0.5000, 0.5000, 0.0000]], "e_tot_ev_per_atom": -4.41, "volume_a3_per_cell": 113.4, "magnetic_moment_mub_per_atom": 0.051, "spacegroup": "P4/mmm (123)"}

***

{"formula": "LiZr2P3O12", "functional": "PBE-GGA", "state": "optimized geometry", "lattice": [[4.7087, 5.8910, -4.2406], [-1.8125, 1.3315, 8.4470], [3.7306, -7.9622, 1.8507]], "species": ["Li", "Li", "O", "O", "O", "O", "O", "O", "O", "O", "O", "O", "O", "O", "O", "O", "O", "O", "O", "O", "O", "O", "O", "O", "O", "O", "P", "P", "P", "P", "P", "P", "Zr", "Zr", "Zr", "Zr"], "frac_coords": [[0.6556, 0.6836, 0.4337], [0.3444, 0.3164, 0.5663], [0.0942, 0.6878, 0.0510], [0.7078, 0.5055, 0.0830], [0.9315, 0.8918, 0.1009], [0.5043, 0.4043, 0.2327], [0.8196, 0.0221, 0.2482], [0.3640, 0.6236, 0.2593], [0.1549, 0.2396, 0.2623], [0.4655, 0.9511, 0.2819], [0.7861, 0.3459, 0.3069], [0.2249, 0.7489, 0.3778], [0.8730, 0.6691, 0.4072], [0.1622, 0.0378, 0.4412], [0.8378, 0.9622, 0.5588], [0.1270, 0.3309, 0.5928], [0.7751, 0.2511, 0.6222], [0.2139, 0.6541, 0.6931], [0.5345, 0.0489, 0.7181], [0.8451, 0.7604, 0.7377], [0.6360, 0.3764, 0.7407], [0.1804, 0.9779, 0.7518], [0.4957, 0.5957, 0.7673], [0.0685, 0.1082, 0.8991], [0.2922, 0.4945, 0.9170], [0.9058, 0.3122, 0.9490], [0.2866, 0.7541, 0.2429], [0.7190, 0.4800, 0.2550], [0.0117, 0.0428, 0.2591], [0.9883, 0.9572, 0.7409], [0.2810, 0.5201, 0.7450], [0.7134, 0.2459, 0.7571], [0.2030, 0.3566, 0.0738], [0.7867, 0.1468, 0.4215], [0.2133, 0.8532, 0.5785], [0.7970, 0.6434, 0.9262]], "e_tot_ev_per_atom": -7.95, "volume_a3_per_cell": 493.6, "magnetic_moment_mub_per_atom": 0.000, "spacegroup": "P-1 (2)", "polymorph_energy_mev_per_atom": 0.0}

***

{"formula": "LuGaAgAu", "functional": "PBE-GGA", "state": "optimized geometry", "lattice": [[-4.0436, -1.9711, 1.6160], [-3.5412, -1.0254, -3.0424], [-1.0186, -4.5541, -1.0344]], "species": ["Ag", "Au", "Ga", "Lu"], "frac_coords": [[0.5000, 0.5000, 0.5000], [0.0000, 0.0000, 0.0000], [0.2500, 0.2500, 0.2500], [0.7500, 0.7500, 0.7500]], "e_tot_ev_per_atom": -3.91, "volume_a3_per_cell": 77.2, "magnetic_moment_mub_per_atom": 0.000, "spacegroup": "F-43m (216)", "polymorph_energy_mev_per_atom": 0.0}

***

{"formula": "FePb2", "functional": "PBE-GGA", "state": "optimized geometry", "lattice": [[-6.1391, 1.7208, -0.8942], [2.0283, -1.7684, 5.8488], [2.4185, 9.7192, 2.0999]], "species": ["Fe", "Fe", "Fe", "Fe", "Pb", "Pb", "Pb", "Pb", "Pb", "Pb", "Pb", "Pb"], "frac_coords": [[0.6667, 0.3333, 0.1468], [0.6667, 0.3333, 0.3532], [0.3333, 0.6667, 0.6468], [0.3333, 0.6667, 0.8532], [0.0000, 0.0000, 0.0000], [0.1720, 0.3439, 0.2500], [0.1720, 0.8280, 0.2500], [0.6561, 0.8280, 0.2500], [0.0000, 0.0000, 0.5000], [0.3439, 0.1720, 0.7500], [0.8280, 0.1720, 0.7500], [0.8280, 0.6561, 0.7500]], "e_tot_ev_per_atom": -4.38, "volume_a3_per_cell": 367.3, "magnetic_moment_mub_per_atom": 1.025, "spacegroup": "P6_3/mmc (194)"}

***

{"formula": "ErCoAg", "functional": "PBE-GGA", "state": "optimized geometry", "lattice": [[0.0000, 3.2018, 3.2018], [3.2018, 0.0000, 3.2018], [3.2018, 3.2018, 0.0000]], "species": ["Ag", "Co", "Er"], "frac_coords": [[0.2500, 0.2500, 0.2500], [0.7500, 0.7500, 0.7500], [0.0000, 0.0000, 0.0000]], "e_tot_ev_per_atom": -4.22, "volume_a3_per_cell": 65.6, "magnetic_moment_mub_per_atom": 0.131, "spacegroup": "F-43m (216)"}

***

{"formula": "NbPAuO", "functional": "PBE-GGA", "state": "optimized geometry", "lattice": [[4.8165, 0.0000, 0.0000], [0.0000, 4.8165, 0.0000], [0.0000, 0.0000, 4.8793]], "species": ["Au", "Au", "Nb", "Nb", "O", "O", "P", "P"], "frac_coords": [[0.0000, 0.5000, 0.1616], [0.5000, 0.0000, 0.8384], [0.0000, 0.0000, 0.5000], [0.5000, 0.5000, 0.5000], [0.0000, 0.0000, 0.0000], [0.5000, 0.5000, 0.0000], [0.5000, 0.0000, 0.3354], [0.0000, 0.5000, 0.6646]], "e_tot_ev_per_atom": -6.31, "volume_a3_per_cell": 113.2, "magnetic_moment_mub_per_atom": 0.000, "spacegroup": "P4/nmm (129)", "polymorph_energy_mev_per_atom": 432.5}

***

{"formula": "LiPrSnPd", "functional": "PBE-GGA", "state": "optimized geometry", "lattice": [[3.1835, -3.6608, -0.6065], [-1.3753, -4.0759, -2.3236], [1.7663, -0.9915, -4.4498]], "species": ["Li", "Pd", "Pr", "Sn"], "frac_coords": [[0.7500, 0.7500, 0.7500], [0.2500, 0.2500, 0.2500], [0.0000, 0.0000, 0.0000], [0.5000, 0.5000, 0.5000]], "e_tot_ev_per_atom": -4.73, "volume_a3_per_cell": 82.6, "magnetic_moment_mub_per_atom": 0.000, "spacegroup": "F-43m (216)"}

***

{"formula": "Co2Pt", "functional": "PBE-GGA", "state": "optimized geometry", "lattice": [[-4.7081, 0.3558, 0.3549], [-2.6214, 0.6898, -3.8822], [-2.7670, -3.4762, -1.6367]], "species": ["Co", "Co", "Co", "Co", "Pt", "Pt"], "frac_coords": [[0.6250, 0.6250, 0.1250], [0.6250, 0.1250, 0.6250], [0.1250, 0.6250, 0.6250], [0.6250, 0.6250, 0.6250], [0.0000, 0.0000, 0.0000], [0.2500, 0.2500, 0.2500]], "e_tot_ev_per_atom": -6.75, "volume_a3_per_cell": 75.1, "magnetic_moment_mub_per_atom": 1.307, "spacegroup": "Fd-3m (227)"}

***

{"formula": "NaDyCdS3", "functional": "PBE-GGA", "state": "optimized geometry", "lattice": [[-6.0788, 3.1873, -3.4313], [-2.4910, -2.4297, 2.1560], [-0.7777, 11.4921, 12.0528]], "species": ["Cd", "Cd", "Cd", "Cd", "Dy", "Dy", "Dy", "Dy", "Na", "Na", "Na", "Na", "S", "S", "S", "S", "S", "S", "S", "S", "S", "S", "S", "S"], "frac_coords": [[0.0785, 0.7500, 0.1619], [0.5785, 0.7500, 0.3381], [0.4215, 0.2500, 0.6619], [0.9215, 0.2500, 0.8381], [0.7331, 0.7500, 0.0369], [0.2331, 0.7500, 0.4631], [0.7669, 0.2500, 0.5369], [0.2669, 0.2500, 0.9631], [0.4433, 0.2500, 0.1945], [0.9433, 0.2500, 0.3055], [0.0567, 0.7500, 0.6945], [0.5567, 0.7500, 0.8055], [0.3761, 0.7500, 0.0625], [0.9875, 0.2500, 0.0764], [0.7293, 0.7500, 0.2060], [0.2293, 0.7500, 0.2940], [0.4875, 0.2500, 0.4236], [0.8761, 0.7500, 0.4375], [0.1239, 0.2500, 0.5625], [0.5125, 0.7500, 0.5764], [0.7707, 0.2500, 0.7060], [0.2707, 0.2500, 0.7940], [0.0125, 0.7500, 0.9236], [0.6239, 0.2500, 0.9375]], "e_tot_ev_per_atom": -4.49, "volume_a3_per_cell": 523.7, "magnetic_moment_mub_per_atom": 0.000, "spacegroup": "Pnma (62)", "polymorph_energy_mev_per_atom": 56.1}

***

{"formula": "Dy2Lu3Hg3", "functional": "PBE-GGA", "state": "optimized geometry", "lattice": [[5.5355, 0.0000, 0.0000], [0.0000, 3.6135, 5.3261], [0.0000, -3.6135, 5.3261]], "species": ["Dy", "Dy", "Hg", "Hg", "Hg", "Lu", "Lu", "Lu"], "frac_coords": [[0.0000, 0.3340, 0.3340], [0.5000, 0.6904, 0.6904], [0.5000, 0.6422, 0.2050], [0.5000, 0.2050, 0.6422], [0.0000, 0.8268, 0.8268], [0.5000, 0.1477, 0.1477], [0.0000, 0.8386, 0.3153], [0.0000, 0.3153, 0.8386]], "e_tot_ev_per_atom": -3.14, "volume_a3_per_cell": 213.1, "magnetic_moment_mub_per_atom": 0.009, "spacegroup": "Amm2 (38)", "polymorph_energy_mev_per_atom": 66.0}

***

{"formula": "LaNiBPd3", "functional": "PBE-GGA", "state": "optimized geometry", "lattice": [[-5.2420, -1.2569, -0.9603], [3.8255, -1.1726, -3.7377], [1.0176, -6.6286, 3.1210]], "species": ["B", "B", "La", "La", "Ni", "Ni", "Pd", "Pd", "Pd", "Pd", "Pd", "Pd"], "frac_coords": [[0.6667, 0.3333, 0.5000], [0.3333, 0.6667, 0.5000], [0.0000, 0.0000, 0.0000], [0.0000, 0.0000, 0.5000], [0.6667, 0.3333, 0.0000], [0.3333, 0.6667, 0.0000], [0.5000, 0.0000, 0.2919], [0.0000, 0.5000, 0.2919], [0.5000, 0.5000, 0.2919], [0.5000, 0.0000, 0.7081], [0.0000, 0.5000, 0.7081], [0.5000, 0.5000, 0.7081]], "e_tot_ev_per_atom": -5.98, "volume_a3_per_cell": 192.0, "magnetic_moment_mub_per_atom": 0.002, "spacegroup": "P6/mmm (191)"}

***

{"formula": "HfZnNiHg", "functional": "PBE-GGA", "state": "optimized geometry", "lattice": [[0.0000, 3.2219, 3.2219], [3.2219, 0.0000, 3.2219], [3.2219, 3.2219, 0.0000]], "species": ["Hf", "Hg", "Ni", "Zn"], "frac_coords": [[0.2500, 0.2500, 0.2500], [0.5000, 0.5000, 0.5000], [0.7500, 0.7500, 0.7500], [0.0000, 0.0000, 0.0000]], "e_tot_ev_per_atom": -4.30, "volume_a3_per_cell": 66.9, "magnetic_moment_mub_per_atom": 0.001, "spacegroup": "F-43m (216)", "polymorph_energy_mev_per_atom": 54.4}